(1)
A relaxed AgBiTe crystal, computed with PBE.

abc: 8.525 8.525 4.219
angles: 90.00 90.00 120.00
Fractional coordinates of all 9 atoms:
Ag (0.538, 0.000, 0.500)
Ag (0.462, 0.462, 0.500)
Ag (0.000, 0.538, 0.500)
Bi (0.667, 0.333, 0.000)
Bi (0.333, 0.667, 0.000)
Bi (0.000, 0.000, 0.500)
Te (0.275, 0.000, 0.000)
Te (0.000, 0.275, 0.000)
Te (0.725, 0.725, 0.000)

Properties
The value obtained for the total energy is -3.1006 eV/atom. The energy above the most stable polymorph in this dataset comes out at 204.6 meV per atom.



(2)
A relaxed AgBiTe crystal, computed with PBE.

abc: 5.520 5.520 6.278
angles: 90.00 90.00 120.00
Fractional coordinates of all 6 atoms:
Ag (0.000, 0.000, 0.000)
Ag (0.000, 0.000, 0.500)
Bi (0.667, 0.333, 0.250)
Bi (0.333, 0.667, 0.750)
Te (0.333, 0.667, 0.250)
Te (0.667, 0.333, 0.750)

Properties
The value obtained for the total energy is -3.1364 eV/atom. The energy above the most stable polymorph in this dataset comes out at 168.7 meV per atom.